1.
A plane-wave DFT calculation with PBE was carried out for Cs3TcP after structural relaxation.

Results
For the formation energy, the calculation gives 1.06 eV/atom. Its space-group type is Pm-3m. The calculation puts the energy above the most stable polymorph in this dataset at 0 meV/atom.

a = 6.886 Å, b = 6.886 Å, c = 6.886 Å
α = 90.00°, β = 90.00°, γ = 90.00°
Positions (direct):
1 Cs 0.000 0.000 0.500
2 Cs 0.000 0.500 0.000
3 Cs 0.500 0.000 0.000
4 Tc 0.500 0.500 0.500
5 P 0.000 0.000 0.000



2.
A plane-wave DFT calculation with PBE was carried out for Cs2TcP after structural relaxation.

Results
For the formation energy, the calculation gives 1.46 eV/atom. Its space-group type is Fm-3m.

a = 5.604 Å, b = 5.604 Å, c = 5.604 Å
α = 60.00°, β = 60.00°, γ = 60.00°
Positions (direct):
1 Cs 0.250 0.250 0.250
2 Cs 0.750 0.750 0.750
3 Tc 0.000 0.000 0.000
4 P 0.500 0.500 0.500



3.
A plane-wave DFT calculation with PBE was carried out for CsTe2P after structural relaxation.

Results
Its space-group type is R-3m. Its formation energy from raw total energies is 0.15 eV per atom.

a = 7.602 Å, b = 7.602 Å, c = 7.602 Å
α = 52.00°, β = 52.00°, γ = 52.00°
Positions (direct):
1 Cs 0.000 0.000 0.000
2 Te 0.376 0.376 0.376
3 Te 0.624 0.624 0.624
4 P 0.500 0.500 0.500



4.
A plane-wave DFT calculation with PBE was carried out for Cs8Te2P after structural relaxation.

Results
Its space-group type is C2/m. Its formation energy from raw total energies is -0.60 eV per atom.

a = 10.955 Å, b = 10.955 Å, c = 11.039 Å
α = 99.19°, β = 99.19°, γ = 33.32°
Positions (direct):
1 Cs 0.057 0.057 0.224
2 Cs 0.184 0.184 0.566
3 Cs 0.313 0.313 0.941
4 Cs 0.432 0.432 0.351
5 Cs 0.568 0.568 0.649
6 Cs 0.687 0.687 0.059
7 Cs 0.816 0.816 0.434
8 Cs 0.943 0.943 0.776
9 Te 0.244 0.244 0.245
10 Te 0.756 0.756 0.755
11 P 0.000 0.000 0.500



5.
A plane-wave DFT calculation with PBE was carried out for CsTe2P after structural relaxation.

Results
Its space-group type is I-42d. Its formation energy from raw total energies is -0.26 eV per atom.

a = 7.675 Å, b = 7.675 Å, c = 7.675 Å
α = 111.94°, β = 111.94°, γ = 104.64°
Positions (direct):
1 Cs 0.000 0.000 0.000
2 Cs 0.750 0.250 0.500
3 Te 0.254 0.625 0.129
4 Te 0.375 0.504 0.629
5 Te 0.496 0.125 0.871
6 Te 0.875 0.746 0.371
7 P 0.250 0.750 0.500
8 P 0.500 0.500 0.000



6.
A plane-wave DFT calculation with PBE was carried out for Cs2TeP after structural relaxation.

Results
Its space-group type is Fm-3m. Its formation energy from raw total energies is -0.07 eV per atom.

a = 6.380 Å, b = 6.380 Å, c = 6.380 Å
α = 60.00°, β = 60.00°, γ = 60.00°
Positions (direct):
1 Cs 0.250 0.250 0.250
2 Cs 0.750 0.750 0.750
3 Te 0.000 0.000 0.000
4 P 0.500 0.500 0.500



7.
A plane-wave DFT calculation with PBE was carried out for Cs2Te5P after structural relaxation.

Results
Its space-group type is P1. Its formation energy from raw total energies is -0.40 eV per atom.

a = 6.925 Å, b = 7.923 Å, c = 8.001 Å
α = 92.76°, β = 108.15°, γ = 111.83°
Positions (direct):
1 Cs 0.000 0.000 0.000
2 Cs 0.015 0.520 0.569
3 Te 0.028 0.025 0.507
4 Te 0.464 0.562 0.248
5 Te 0.506 0.441 0.934
6 Te 0.513 0.000 0.513
7 Te 0.966 0.498 0.065
8 P 0.640 0.913 0.276



8.
A plane-wave DFT calculation with PBE was carried out for CsTe4P after structural relaxation.

Results
Its space-group type is C2/m. Its formation energy from raw total energies is -0.21 eV per atom.

a = 9.373 Å, b = 9.373 Å, c = 7.595 Å
α = 108.93°, β = 108.93°, γ = 49.61°
Positions (direct):
1 Cs 0.215 0.215 0.166
2 Cs 0.785 0.785 0.834
3 Te 0.092 0.730 0.476
4 Te 0.270 0.730 0.000
5 Te 0.270 0.908 0.524
6 Te 0.283 0.283 0.726
7 Te 0.717 0.717 0.274
8 Te 0.730 0.092 0.476
9 Te 0.730 0.270 0.000
10 Te 0.908 0.270 0.524
11 P 0.437 0.437 0.753
12 P 0.563 0.563 0.247



| no. | size of the total moment (μB/atom) | Fermi-level density of states (states/eV/f.u.) | E (eV per atom) |
| --- | --- | --- | --- |
| 1 | 1.000 | 47.55 | -2.604 |
| 2 | 1.273 | 3.23 | -2.908 |
| 3 | 0.500 | 2.11 | -2.988 |
| 4 | 0.045 | 3.07 | -2.287 |
| 5 | 0.000 | 0.00 | -3.397 |
| 6 | 0.750 | 0.00 | -2.632 |
| 7 | 0.000 | 1.70 | -3.249 |
| 8 | 0.000 | 0.90 | -3.344 |